(1)
{"formula": "Ba2ZnIn", "functional": "SCAN", "state": "PBEsol geometry", "energy_ev_per_atom": -31.854, "ef_ev_per_fu": -1.41, "mass_density_g_cm3": 5.5, "lattice": [[5.8083, 0.0000, 0.0000], [2.9041, 5.0301, 0.0000], [2.9041, 1.6767, 4.7424]], "species": ["Zn", "Ba", "Ba", "In"], "frac_coords": [[0.5000, 0.5000, 0.5000], [0.2500, 0.2500, 0.2500], [0.7500, 0.7500, 0.7500], [0.0000, 0.0000, 0.0000]]}



(2)
{"formula": "Ba2Zn2In", "functional": "SCAN", "state": "PBEsol geometry", "energy_ev_per_atom": -28.159, "ef_ev_per_fu": -1.28, "mass_density_g_cm3": 5.7, "lattice": [[4.7740, 0.0000, 0.0000], [0.0000, 7.9620, 0.0000], [0.0000, 0.0000, 7.9620]], "species": ["Zn", "Zn", "Zn", "Zn", "In", "In", "Ba", "Ba", "Ba", "Ba"], "frac_coords": [[0.0000, 0.3879, 0.8879], [0.0000, 0.1121, 0.3879], [0.0000, 0.8879, 0.6121], [0.0000, 0.6121, 0.1121], [0.0000, 0.0000, 0.0000], [0.0000, 0.5000, 0.5000], [0.5000, 0.6885, 0.8115], [0.5000, 0.8115, 0.3115], [0.5000, 0.3115, 0.1885], [0.5000, 0.1885, 0.6885]]}



(3)
{"formula": "BaZn2In", "functional": "SCAN", "state": "PBEsol geometry", "energy_ev_per_atom": -25.196, "ef_ev_per_fu": -0.82, "mass_density_g_cm3": 6.1, "lattice": [[-3.4358, 0.3291, -1.8381], [-1.6197, -3.0800, 2.4763], [-0.0961, 4.1212, 5.0631]], "species": ["Ba", "In", "Zn", "Zn"], "frac_coords": [[0.5434, 0.0000, 0.4626], [0.2389, 0.5000, 0.8521], [0.8107, 0.0000, 0.9943], [0.9070, 0.5000, 0.1910]]}



(4)
{"formula": "BaZn2In", "functional": "SCAN", "state": "PBEsol geometry", "energy_ev_per_atom": -25.012, "ef_ev_per_fu": -0.08, "mass_density_g_cm3": 6.4, "lattice": [[-4.0967, -2.5027, 1.9898], [0.5791, -3.0027, 4.2017], [-1.9963, 1.4968, 4.5585]], "species": ["Zn", "Zn", "In", "Ba"], "frac_coords": [[0.0000, 0.0000, 0.0000], [0.7500, 0.7500, 0.7500], [0.2500, 0.2500, 0.2500], [0.5000, 0.5000, 0.5000]]}



(5)
{"formula": "BaZnIn", "functional": "SCAN", "state": "PBEsol geometry", "energy_ev_per_atom": -29.219, "ef_ev_per_fu": -1.20, "mass_density_g_cm3": 5.9, "lattice": [[-2.5852, 1.9558, -2.6885], [-2.6137, -4.1535, -0.5081], [-1.1937, 3.2516, 3.5133]], "species": ["In", "Zn", "Ba"], "frac_coords": [[0.5000, 0.3333, 0.6667], [0.5000, 0.6667, 0.3333], [0.0000, 0.0000, 0.0000]]}



(6)
{"formula": "BaZn2In", "functional": "SCAN", "state": "PBEsol geometry", "energy_ev_per_atom": -25.291, "ef_ev_per_fu": -1.20, "mass_density_g_cm3": 6.0, "lattice": [[4.4329, 0.0000, 0.0000], [2.2165, 3.8390, 0.0000], [2.2165, 1.2797, 6.2066]], "species": ["In", "Ba", "Zn", "Zn"], "frac_coords": [[0.2912, 0.2912, 0.1265], [0.4937, 0.4937, 0.5188], [0.0267, 0.0267, 0.9199], [0.6931, 0.6931, 0.9208]]}



(7)
{"formula": "BaZnIn2", "functional": "SCAN", "state": "PBEsol geometry", "energy_ev_per_atom": -29.927, "ef_ev_per_fu": 0.13, "mass_density_g_cm3": 6.4, "lattice": [[-1.1283, 2.6994, -1.5229], [-2.5497, 0.6724, 5.5089], [6.3524, 1.1816, -0.2540]], "species": ["Ba", "In", "In", "Zn"], "frac_coords": [[0.0000, 0.5000, 0.0000], [0.5000, 0.5000, 0.5000], [0.0000, 0.0000, 0.5000], [0.5000, 0.0000, 0.0000]]}



(8)
{"formula": "Ba2ZnIn", "functional": "SCAN", "state": "PBEsol geometry", "energy_ev_per_atom": -31.847, "ef_ev_per_fu": -1.38, "mass_density_g_cm3": 5.8, "lattice": [[4.0432, 0.0000, 0.0000], [0.0000, 5.7217, -0.0243], [-2.0216, -2.8389, 5.6831]], "species": ["Ba", "Ba", "Zn", "In"], "frac_coords": [[0.0387, 0.0386, 0.0774], [0.2254, 0.7254, 0.4508], [0.7865, 0.2867, 0.5730], [0.4494, 0.4492, 0.8988]]}